No. 1
Entry from OQMD via LeMat-Bulk: a relaxed structure of KCuTe2WS (PBE).

The structure in extended XYZ format:
```
12
Lattice="-6.3123 1.0735 -5.0228 4.1116 -4.3558 5.5089 -4.9553 4.3834 7.1643" Properties=species:S:1:pos:R:3 pbc="T T T"
Te -2.5855 -0.7899 -0.7329
Te -4.5705 1.8910 8.3833
Te -2.5200 0.0772 5.4187
Te -4.6360 1.0239 2.2317
S -0.1673 -0.7753 10.3139
S -6.9888 1.8764 -2.6636
K -7.3296 2.9551 3.0775
K 0.1736 -1.8541 4.5729
Cu -2.5608 -0.4299 1.8102
Cu -4.5952 1.5309 5.8402
W -2.4777 2.1917 3.5821
W 0.0000 0.0000 0.0000
```

Computed properties:
Total magnetic moment (μB per formula unit): 1.81
Raw total energy (eV/cell): -58.91


No. 2
Entry from OQMD via LeMat-Bulk: a relaxed structure of KZrCuTeS2 (PBE).

The structure in extended XYZ format:
```
12
Lattice="-6.1860 -2.8075 4.2417 5.3764 -0.5447 -5.9108 6.5979 -4.8018 6.4440" Properties=species:S:1:pos:R:3 pbc="T T T"
Te 5.9685 -1.9521 -3.3713
Te -0.1801 -6.2019 8.1462
Cu 1.5074 -2.8251 0.5458
Cu 4.2809 -5.3289 4.2291
Zr 0.0000 0.0000 0.0000
Zr 3.2990 -2.4009 3.2220
S 3.6576 -3.5162 0.8908
S 1.2496 -1.7638 -1.4609
S 2.1308 -4.6378 3.8840
S 4.5387 -6.3903 6.2358
K 7.7966 -4.6409 1.1421
K -2.0083 -3.5132 3.6328
```

Computed properties:
Total magnetic moment (μB per formula unit): 0.00
Raw total energy (eV/cell): -62.60


No. 3
Entry from OQMD via LeMat-Bulk: a relaxed structure of KZrCuTe2S (PBE).

The structure in extended XYZ format:
```
12
Lattice="1.9871 -7.8269 0.0000 1.9871 7.8269 0.0000 0.0000 0.0000 10.2416" Properties=species:S:1:pos:R:3 pbc="T T T"
Cu 1.9871 0.4667 7.6812
Cu 1.9871 -0.4667 2.5604
K 1.9871 -3.4972 7.6812
K 1.9871 3.4972 2.5604
Te 1.9871 -2.0818 0.5282
Te 1.9871 2.0818 9.7134
Te 1.9871 -2.0818 4.5926
Te 1.9871 2.0818 5.6490
S 1.9871 7.0620 7.6812
S 1.9871 -7.0620 2.5604
Zr 0.0000 0.0000 5.1208
Zr 0.0000 0.0000 0.0000
```

Computed properties:
Total magnetic moment (μB per formula unit): 0.00
Raw total energy (eV/cell): -58.69


No. 4
Entry from OQMD via LeMat-Bulk: a relaxed structure of K3Th2Cu3S7 (PBE).

The structure in extended XYZ format:
```
60
Lattice="4.0618 0.0000 0.0000 0.0000 14.2048 0.0000 0.0000 0.0000 24.6912" Properties=species:S:1:pos:R:3 pbc="T T T"
Cu 2.0368 10.4666 11.4122
Cu 0.0059 10.8406 13.2790
Cu 2.0250 3.7382 13.2790
Cu 4.0560 10.8406 23.7579
Cu 4.0560 3.3642 11.4122
Cu 0.0000 2.2668 6.1728
Cu 2.0309 9.3692 6.1728
Cu 2.0309 4.8356 18.5184
Cu 2.0250 10.4666 0.9334
Cu 0.0000 11.9380 18.5184
Cu 2.0368 3.7382 23.7579
Cu 0.0059 3.3642 0.9334
K 0.0000 8.0760 18.5184
K 2.0123 6.4444 10.8005
K 4.0433 13.5468 1.5452
K 2.0123 7.7603 23.1461
K 2.0309 13.2312 6.1728
K 4.0433 0.6580 13.8908
K 0.0000 6.1288 6.1728
K 2.0495 7.7603 13.8908
K 2.0309 0.9736 18.5184
K 0.0186 13.5468 10.8005
K 2.0495 6.4444 1.5452
K 0.0186 0.6580 23.1461
S 2.0222 2.0160 11.5515
S 2.0392 6.1672 20.4327
S 2.0395 2.5812 21.7151
S 2.0396 2.0160 0.7941
S 0.0086 9.6836 15.3217
S 2.0223 2.5812 15.3217
S 2.0309 3.5778 6.1728
S 2.0227 6.1672 16.6041
S 2.0222 12.1888 23.8971
S 2.0227 8.0375 4.2585
S 0.0087 9.1184 11.5515
S 0.0086 4.5212 2.9761
S 2.0395 11.6236 9.3695
S 4.0536 13.2696 20.4327
S 0.0082 13.2696 16.6041
S 2.0396 12.1888 13.1397
S 0.0000 3.5246 18.5184
S 2.0392 8.0375 8.0871
S 4.0531 5.0864 13.1397
S 4.0536 0.9351 8.0871
S 2.0223 11.6236 2.9761
S 4.0531 9.1184 0.7941
S 0.0000 10.6802 6.1728
S 4.0533 9.6836 21.7151
S 2.0309 10.6270 18.5184
S 4.0533 4.5212 9.3695
S 0.0082 0.9351 4.2585
S 0.0087 5.0864 23.8971
Th 2.0386 11.4959 15.8501
Th 0.0077 4.3935 21.1868
Th 2.0232 11.4959 21.1868
Th 4.0541 4.3935 15.8501
Th 2.0232 2.7089 8.8411
Th 4.0541 9.8113 3.5045
Th 0.0077 9.8113 8.8411
Th 2.0386 2.7089 3.5045
```

Computed properties:
Total magnetic moment (μB per formula unit): 0.00
Raw total energy (eV/cell): -312.51


No. 5
Entry from OQMD via LeMat-Bulk: a relaxed structure of K2Tl4Cu4S9 (PBE).

The structure in extended XYZ format:
```
19
Lattice="-4.2046 5.7437 0.0901 -6.5648 2.6627 0.7006 6.2503 -1.6577 15.7974" Properties=species:S:1:pos:R:3 pbc="T T T"
K -9.0109 7.7399 4.2251
K 4.4918 -0.9912 12.3630
S 1.0509 1.6174 12.2254
S -1.9670 2.6443 5.7408
S 1.4407 0.3158 7.1633
S -5.5700 5.1313 4.3627
S 0.0000 0.0000 0.0000
S -2.5521 4.1044 10.8473
S -2.4292 2.2382 1.9043
S -2.0898 4.5105 14.6838
S -5.9597 6.4329 9.4248
Cu -3.3993 5.1611 12.9051
Cu -3.2086 3.8648 7.0999
Cu -1.1198 1.5876 3.6831
Cu -1.3104 2.8839 9.4882
Tl 1.4009 0.8520 9.7159
Tl 2.2341 1.3595 15.4978
Tl -6.7532 5.3892 1.0903
Tl -5.9200 5.8967 6.8722
```

Computed properties:
Raw total energy (eV/cell): -69.91


No. 6
Entry from OQMD via LeMat-Bulk: a relaxed structure of KTmCuS3 (PBE).

The structure in extended XYZ format:
```
12
Lattice="8.6467 0.0000 0.0000 0.0000 3.9001 0.0000 -2.8470 0.0000 8.7689" Properties=species:S:1:pos:R:3 pbc="T T T"
S -2.0740 0.9750 7.3591
S 2.8633 0.9750 7.5519
S 2.9364 2.9251 1.2170
S 4.4142 2.9251 4.7433
S 7.8737 2.9251 1.4098
S 1.3855 0.9750 4.0256
K 5.4358 0.9750 2.0854
K 0.3639 2.9251 6.6835
Tm 4.7136 2.9251 7.5284
Tm 1.0861 0.9750 1.2405
Cu 3.3225 0.9750 5.3083
Cu 2.4772 2.9251 3.4606
```

Computed properties:
Total magnetic moment (μB per formula unit): 0.00
Raw total energy (eV/cell): -58.61


No. 7
Entry from OQMD via LeMat-Bulk: a relaxed structure of KCuSb (PBE).

The structure in extended XYZ format:
```
6
Lattice="4.3835 0.0000 0.0000 -2.1918 3.7962 0.0000 0.0000 0.0000 10.7810" Properties=species:S:1:pos:R:3 pbc="T T T"
Cu 2.1918 1.2654 2.6952
Cu 0.0000 2.5308 8.0857
K 0.0000 0.0000 0.0000
K 0.0000 0.0000 5.3905
Sb 2.1918 1.2654 8.0857
Sb 0.0000 2.5308 2.6952
```

Computed properties:
Distance to the lowest polymorph of the same formula (eV/f.u.): 0.000
Raw total energy (eV/cell): -18.99


No. 8
Entry from OQMD via LeMat-Bulk: a relaxed structure of KCu2SbSe3 (PBE).

The structure in extended XYZ format:
```
56
Lattice="-0.5447 -4.3121 -5.1658 9.6695 -4.4021 2.6550 -8.1485 -8.2219 16.0444" Properties=species:S:1:pos:R:3 pbc="T T T"
Sb 7.2167 -7.1686 0.5209
Sb 4.3325 -7.7557 9.9885
Sb 1.0822 -10.3415 7.9773
Sb -0.1058 -6.5946 5.5563
Sb 2.7513 -5.9951 -3.9188
Sb -3.3561 -9.1804 3.5451
Sb -6.2404 -9.7675 13.0128
Sb -1.7750 -10.9410 17.4524
Se -2.0783 -13.2874 14.0620
Se 1.9871 -13.3282 13.5831
Se -3.3117 -6.7161 6.8644
Se -5.2074 -9.8318 5.3671
Se 4.9095 -6.5154 1.6684
Se 0.4516 -4.6933 -3.6787
Se 2.2250 -7.0511 8.5383
Se 1.0723 -8.4607 12.1977
Se 2.3449 -11.3136 10.1051
Se 0.5248 -12.2428 17.2123
Se -1.0108 -3.6079 -0.0495
Se 4.2880 -10.2200 6.6692
Se -1.2141 -9.4811 9.0356
Se -5.7742 -11.8562 8.9176
Se 3.0547 -3.6487 -0.5284
Se 2.1904 -7.4550 4.4980
Se 6.7505 -5.0799 4.6160
Se -3.9332 -10.4207 11.8652
Se 2.5442 -7.3950 -1.6453
Se -1.2486 -9.8850 4.9953
Se -0.0960 -8.4754 1.3359
Se 6.1838 -7.1043 8.1665
Se -1.3686 -5.6225 3.4285
Se -1.5679 -9.5411 15.1789
K 1.4488 -14.5239 9.8260
K 1.5852 -5.5664 1.7400
K -4.8223 -8.6151 9.1215
K -0.6088 -11.3697 11.7936
K -0.4725 -2.4122 3.7076
K 5.7987 -8.3210 4.4121
K -2.2749 -7.5574 12.3536
K 3.2513 -9.3787 1.1800
Cu 5.0182 -4.4935 3.0279
Cu -7.5748 -11.3206 10.4834
Cu 8.5512 -5.6154 3.0502
Cu 0.0945 -13.3366 15.0786
Cu 2.6027 -8.5127 6.6264
Cu -4.0419 -12.4426 10.5057
Cu -3.0685 -5.0495 5.0614
Cu 4.2511 -6.0148 -0.6120
Cu 0.8819 -3.5995 -1.5449
Cu -2.1610 -7.3331 1.8813
Cu 3.1373 -9.6030 11.6523
Cu 0.6209 -9.0860 3.5929
Cu -3.2748 -10.9213 14.1456
Cu -1.6264 -8.4234 6.9072
Cu 4.0448 -11.8866 8.4723
Cu 0.3555 -7.8501 9.9407
```

Computed properties:
Raw total energy (eV/cell): -210.22


So what do the calculations give for volume? Going down the list: 25.531, 25.815, 26.548, 23.744, 23.081, 24.643, 29.901, 24.729 A^3/atom.